# 1
The following is a DFT calculation (GGA-PBE) of crystalline NdTh2Pa at its relaxed geometry.

abc: 7.8835 7.8835 7.8835
angles: 90.00 90.00 90.00
Space group Fm-3m (No. 225)
Asymmetric unit:
Nd  0.0000  0.0000  0.0000 x4
Th  0.2500  0.2500  0.2500 x8
Pa  0.0000  0.0000  0.5000 x4

Summary:
offset from the most stable computed form	204	meV/atom
total DFT energy (no corrections)	-6.970	eV per atom
volume	490.0	Å³/cell
DFT formation energy	1.2	eV per formula unit


# 2
The following is a DFT calculation (GGA-PBE) of crystalline NdThPa at its relaxed geometry.

abc: 3.3842 3.3842 15.8051
angles: 90.00 90.00 90.00
Space group I4mm (No. 107)
Asymmetric unit:
Nd  0.0000  0.0000  0.0000 x2
Th  0.0000  0.0000  0.6829 x2
Pa  0.0000  0.0000  0.3374 x2

Summary:
offset from the most stable computed form	0	meV/atom
total DFT energy (no corrections)	-7.048	eV per atom
volume	181.0	Å³/cell
DFT formation energy	0.5	eV per formula unit


# 3
The following is a DFT calculation (GGA-PBE) of crystalline NdThPa at its relaxed geometry.

abc: 6.4226 11.3075 20.8165
angles: 90.00 90.00 90.00
Space group Fddd (No. 70, origin choice 2)
Asymmetric unit:
Nd  0.1250  0.1250  0.0476 x16
Th  0.1250  0.1250  0.4994 x16
Pa  0.1250  0.2905  0.6250 x16

Summary:
offset from the most stable computed form	271	meV/atom
total DFT energy (no corrections)	-6.776	eV per atom
volume	1511.8	Å³/cell
DFT formation energy	1.4	eV per formula unit


# 4
The following is a DFT calculation (GGA-PBE) of crystalline Nd2ThPa at its relaxed geometry.

abc: 3.4226 3.4226 37.1391
angles: 90.00 90.00 120.00
Space group R-3m (No. 166, hexagonal axes)
Asymmetric unit:
Nd  0.0000  0.0000  0.0877 x6
Th  0.0000  0.0000  0.5000 x3
Pa  0.0000  0.0000  0.0000 x3

Summary:
total DFT energy (no corrections)	-6.281	eV per atom
volume	376.8	Å³/cell
DFT formation energy	1.3	eV per formula unit


# 5
The following is a DFT calculation (GGA-PBE) of crystalline NdTh2Pa at its relaxed geometry.

abc: 3.5179 3.5179 34.7307
angles: 90.00 90.00 120.00
Space group R3m (No. 160, hexagonal axes)
Asymmetric unit:
Nd  0.0000  0.0000  0.0000 x3
Th  0.0000  0.0000  0.5813 x3
Th  0.0000  0.0000  0.7565 x3
Pa  0.0000  0.0000  0.1692 x3

Summary:
offset from the most stable computed form	22	meV/atom
total DFT energy (no corrections)	-7.152	eV per atom
volume	372.2	Å³/cell
DFT formation energy	0.5	eV per formula unit


# 6
The following is a DFT calculation (GGA-PBE) of crystalline NdTh2Pa at its relaxed geometry.

abc: 3.4129 3.4129 37.2164
angles: 90.00 90.00 120.00
Space group R-3m (No. 166, hexagonal axes)
Asymmetric unit:
Nd  0.0000  0.0000  0.0000 x3
Th  0.0000  0.0000  0.0893 x6
Pa  0.0000  0.0000  0.5000 x3

Summary:
offset from the most stable computed form	181	meV/atom
total DFT energy (no corrections)	-6.993	eV per atom
volume	375.4	Å³/cell
DFT formation energy	1.1	eV per formula unit